The following is a DFT calculation (PBE with a Hubbard U) of a geometry-optimized K3PuV2O8 structure.

```
K3PuV2O8
1.0
6.053 0.000 0.000
-3.027 5.242 0.000
0.000 0.000 7.732
K Pu V O
3 1 2 8
Cartesian
0.000 0.000 0.000 K
0.000 3.495 5.348 K
3.027 1.747 2.384 K
0.000 0.000 3.866 Pu
0.000 3.495 1.868 V
3.027 1.747 5.864 V
0.000 1.826 2.498 O
-1.445 4.329 2.498 O
0.000 3.495 0.186 O
1.582 0.913 5.234 O
1.445 4.329 2.498 O
3.027 1.747 7.546 O
4.471 0.913 5.234 O
3.027 3.416 5.234 O
```

Calculated values
uncorrected energy	-7.37	eV per atom
SG	P-3m1, No. 164